(1)
The following is a PBE calculation of a geometry-optimized SrTmBeN2 structure, from Alexandria.

## Properties
As for the electronic total energy: -6.18 eV/atom. The space group is No. 49. The calculation puts the formation energy without anion corrections at -0.87 eV per atom. For the theoretical density, the calculation gives 5.36 g/cm³.

a = 5.1071 Å, b = 5.3816 Å, c = 6.6124 Å
α = 90.00°, β = 90.00°, γ = 90.00°
Last column: nearest neighbours and their distance in Å.
Fractional positions:
Sr 0.0000 0.0000 0.2500  4 N 2.72
Sr 0.0000 0.0000 0.7500  4 N 2.72
Tm 0.5000 0.5000 0.2500  4 N 2.30
Tm 0.5000 0.5000 0.7500  4 N 2.30
Be 0.0000 0.5000 0.0000  2 N 1.55
Be 0.0000 0.5000 0.5000  2 N 1.55
N 0.2430 0.3282 0.0000  1 Be 1.55
N 0.2430 0.6718 0.5000  1 Be 1.55
N 0.7570 0.3282 0.5000  1 Be 1.55
N 0.7570 0.6718 0.0000  1 Be 1.55



(2)
The following is a PBE calculation of a geometry-optimized Ho2PaZn structure, from Alexandria.

## Properties
As for the electronic total energy: -4.75 eV/atom. The space group is No. 166. The value obtained for the relative energy among the computed polymorphs is 298 meV per atom. For the theoretical density, the calculation gives 10.05 g/cm³. The calculation puts the energy of formation at 0.227 eV per atom.

a = 11.3932 Å, b = 11.3932 Å, c = 11.3932 Å
α = 16.45°, β = 16.45°, γ = 16.45°
Last column: nearest neighbours and their distance in Å.
Fractional positions:
Ho 0.0964 0.0964 0.0964  3 Zn 3.03, 1 Pa 3.25, 6 Ho 3.26
Ho 0.9036 0.9036 0.9036  3 Zn 3.03, 1 Pa 3.25, 6 Ho 3.26
Pa 0.0000 0.0000 0.0000  2 Ho 3.25, 6 Pa 3.26
Zn 0.5000 0.5000 0.5000  6 Ho 3.03, 6 Zn 3.26



(3)
The following is a PBE calculation of a geometry-optimized In4Hg5Pb2 structure, from Alexandria.

## Properties
As for the electronic total energy: -1.73 eV/atom. The space group is No. 71. The value obtained for the relative energy among the computed polymorphs is 34 meV per atom. For the theoretical density, the calculation gives 9.82 g/cm³. The calculation puts the energy of formation at 0.080 eV per atom.

a = 8.3099 Å, b = 8.3099 Å, c = 8.3099 Å
α = 140.35°, β = 117.28°, γ = 76.80°
Last column: nearest neighbours and their distance in Å.
Fractional positions:
In 0.1183 0.1183 0.0000  1 In 3.08, 2 Hg 3.22, 1 Pb 3.30
In 0.1737 0.5000 0.6737  1 In 3.00, 2 Pb 3.28
In 0.8263 0.5000 0.3263  1 In 3.00, 2 Pb 3.28
In 0.8817 0.8817 0.0000  1 In 3.08, 2 Hg 3.22, 1 Pb 3.30
Hg 0.0888 0.7628 0.3261  3 Hg 3.01-3.13, 1 In 3.22, 1 Pb 3.32
Hg 0.4367 0.7628 0.6739  3 Hg 3.01-3.13, 1 In 3.22, 1 Pb 3.32
Hg 0.5000 0.0000 0.5000  4 Pb 3.27, 4 Hg 3.44
Hg 0.5633 0.2372 0.3261  3 Hg 3.01-3.13, 1 In 3.22, 1 Pb 3.32
Hg 0.9112 0.2372 0.6739  3 Hg 3.01-3.13, 1 In 3.22, 1 Pb 3.32
Pb 0.3720 0.3720 0.0000  8 Hg 3.27-3.50, 3 In 3.28-3.30, 1 Pb 3.34
Pb 0.6280 0.6280 0.0000  8 Hg 3.27-3.50, 3 In 3.28-3.30, 1 Pb 3.34